Mg4In4Pb5 | PBE | relaxed

As for the formation enthalpy at 0 K: -12 meV/atom. The total moment comes out at 0.00 μB per cell. As for the density of states at the Fermi level: 5.30 states/eV per cell. The mass density is 7.5 g cm⁻³.

POSCAR file:
```
Mg4In4Pb5
1.0
-6.0724 6.0724 2.3787
6.0724 -6.0724 2.3787
6.0724 6.0724 -2.3787
Mg In Pb
4 4 5
direct
0.1486 0.7676 0.9162
0.2324 0.1486 0.3809
0.7676 0.8514 0.6191
0.8514 0.2324 0.0838
0.0838 0.3876 0.4714
0.3876 0.9162 0.3038
0.6124 0.0838 0.6962
0.9162 0.6124 0.5286
0.0000 0.0000 0.0000
0.3008 0.5542 0.8550
0.4458 0.3008 0.7466
0.5542 0.6992 0.2534
0.6992 0.4458 0.1450
```